1.
An optimized crystal structure of LiAu4Cl, computed with PBE.

abc: 7.8864 7.8864 7.8864
angles: 90.00 90.00 90.00
Last column: nearest neighbours and their distance in Å.
Space group F-43m (No. 216)
Unique sites:
Li  0.0000  0.0000  0.0000  12 Au 3.27, 4 Cl 3.41
Au  0.1252  0.1252  0.6252  6 Au 2.78-2.79
Cl  0.2500  0.2500  0.2500  12 Au 3.27, 4 Li 3.41

Properties
DFT total energy = -72.2 eV/cell
E_form (uncorrected) = -1.18 eV per formula unit
Crystal system = cubic

2.
An optimized crystal structure of LiAuCl2, computed with PBE.

abc: 3.5659 3.5659 6.6245
angles: 90.00 90.00 90.00
Last column: nearest neighbours and their distance in Å.
Space group P4mm (No. 99)
Unique sites:
Li  0.0000  0.0000  0.0000  5 Cl 2.38-2.58
Au  0.5000  0.5000  0.5465  1 Cl 2.48
Cl  0.0000  0.0000  0.3598  1 Li 2.38
Cl  0.5000  0.5000  0.9209  1 Au 2.48, 4 Li 2.58

Properties
Distance to the lowest polymorph of the same formula = 0.201 eV per atom
DFT total energy = -12.1 eV/cell
E_form (uncorrected) = -3.17 eV per formula unit
Crystal system = tetragonal

3.
An optimized crystal structure of LiAuCl2, computed with PBE.

abc: 3.7532 7.0642 7.2020
angles: 90.00 90.00 90.00
Last column: nearest neighbours and their distance in Å.
Space group Immm (No. 71)
Unique sites:
Li  0.0000  0.0000  0.0000  4 Cl 2.53
Au  0.0000  0.5000  0.0000  4 Cl 2.63
Cl  0.0000  0.2604  0.5000  2 Li 2.53, 2 Au 2.63

Properties
Distance to the lowest polymorph of the same formula = 0.276 eV per atom
DFT total energy = -23.5 eV/cell
E_form (uncorrected) = -2.87 eV per formula unit
Crystal system = orthorhombic

4.
An optimized crystal structure of LiAuCl2, computed with PBE.

abc: 5.7863 5.7863 11.4589
angles: 90.00 90.00 90.00
Last column: nearest neighbours and their distance in Å.
Space group I-42d (No. 122)
Unique sites:
Li  0.0000  0.0000  0.0000  4 Cl 2.40
Au  0.0000  0.0000  0.5000  4 Cl 2.61
Cl  0.2183  0.2500  0.1250  2 Li 2.40, 2 Au 2.61

Properties
Distance to the lowest polymorph of the same formula = 0.155 eV per atom
DFT total energy = -49.0 eV/cell
E_form (uncorrected) = -3.35 eV per formula unit
Crystal system = tetragonal

5.
An optimized crystal structure of LiAuCl2, computed with PBE.

abc: 3.7198 7.0124 7.0936
angles: 90.00 90.00 90.00
Last column: nearest neighbours and their distance in Å.
Space group Cmmm (No. 65)
Unique sites:
Li  0.0000  0.0000  0.0000  4 Cl 2.50
Au  0.0000  0.0000  0.5000  4 Cl 2.64
Cl  0.0000  0.5000  0.2349  2 Li 2.50, 2 Au 2.64

Properties
Distance to the lowest polymorph of the same formula = 0.281 eV per atom
DFT total energy = -23.5 eV/cell
E_form (uncorrected) = -2.85 eV per formula unit
Crystal system = orthorhombic

6.
An optimized crystal structure of Li2AuCl6, computed with PBE.

abc: 6.3405 6.2136 12.2360
angles: 90.00 116.50 90.00
Last column: nearest neighbours and their distance in Å.
Space group P2_1/c (No. 14)
Unique sites:
Li  0.1477  0.0184  0.1727  5 Cl 2.44-2.66
Au  0.5000  0.0000  0.0000  4 Cl 2.36
Cl  0.1501  0.2364  0.8337  2 Li 2.44-2.48, 1 Au 2.68
Cl  0.2012  0.7180  0.5060  1 Au 2.36, 1 Li 2.63
Cl  0.4806  0.2094  0.1564  1 Au 2.36, 1 Li 2.51

Properties
Distance to the lowest polymorph of the same formula = 0.000 eV per atom
DFT total energy = -51.5 eV/cell
E_form (uncorrected) = -7.56 eV per formula unit
Crystal system = monoclinic

7.
An optimized crystal structure of LiAuCl2, computed with PBE.

abc: 4.0493 3.5763 6.6139
angles: 90.00 93.82 90.00
Last column: nearest neighbours and their distance in Å.
Space group P2/m (No. 10)
Unique sites:
Li  0.0000  0.0000  0.0000  4 Cl 2.51
Au  0.0000  0.0000  0.5000  4 Cl 2.65
Cl  0.2068  0.5000  0.7752  2 Li 2.51, 2 Au 2.65

Properties
Distance to the lowest polymorph of the same formula = 0.269 eV per atom
DFT total energy = -11.8 eV/cell
E_form (uncorrected) = -2.90 eV per formula unit
Crystal system = monoclinic

8.
An optimized crystal structure of LiAuCl4, computed with PBE.

abc: 8.4180 8.4180 8.4180
angles: 90.00 90.00 90.00
Last column: nearest neighbours and their distance in Å.
Space group F-43m (No. 216)
Unique sites:
Li  0.0000  0.0000  0.0000  12 Cl 3.49, 4 Au 3.65
Au  0.2500  0.2500  0.7500  12 Cl 3.49, 4 Li 3.65
Cl  0.1249  0.1249  0.3751  6 Cl 2.97-2.98

Properties
DFT total energy = -43.0 eV/cell
E_form (uncorrected) = 1.83 eV per formula unit
Crystal system = cubic

9.
An optimized crystal structure of LiAuCl6, computed with PBE.

abc: 6.3197 6.3197 16.8299
angles: 90.00 90.00 120.00
Last column: nearest neighbours and their distance in Å.
Space group R-3 (No. 148, hexagonal axes)
Unique sites:
Li  0.0000  0.0000  0.0000  6 Cl 2.65
Au  0.0000  0.0000  0.5000  6 Cl 2.38
Cl  0.0062  0.3104  0.4187  1 Au 2.38, 1 Li 2.65

Properties
DFT total energy = -58.7 eV/cell
E_form (uncorrected) = -3.29 eV per formula unit
Crystal system = trigonal

10.
An optimized crystal structure of LiAuCl2, computed with PBE.

abc: 3.6062 3.6898 7.4494
angles: 90.00 90.00 90.00
Last column: nearest neighbours and their distance in Å.
Space group Pmmm (No. 47)
Unique sites:
Li  0.0000  0.0000  0.0000  4 Cl 2.58
Au  0.0000  0.5000  0.5000  4 Cl 2.58
Cl  0.5000  0.0000  0.5000  4 Au 2.58
Cl  0.5000  0.5000  0.0000  4 Li 2.58

Properties
Distance to the lowest polymorph of the same formula = 0.257 eV per atom
DFT total energy = -11.8 eV/cell
E_form (uncorrected) = -2.95 eV per formula unit
Crystal system = orthorhombic

11.
An optimized crystal structure of LiAuCl, computed with PBE.

abc: 6.2479 6.2479 6.2479
angles: 90.00 90.00 90.00
Last column: nearest neighbours and their distance in Å.
Space group F-43m (No. 216)
Unique sites:
Li  0.0000  0.0000  0.0000  4 Au 2.71, 4 Cl 2.71
Au  0.2500  0.2500  0.7500  4 Li 2.71
Cl  0.2500  0.2500  0.2500  4 Li 2.71

Properties
Distance to the lowest polymorph of the same formula = 0.576 eV per atom
DFT total energy = -32.5 eV/cell
E_form (uncorrected) = -1.08 eV per formula unit
Crystal system = cubic

12.
An optimized crystal structure of LiAuCl2, computed with PBE.

abc: 7.3250 7.2245 4.2778
angles: 90.00 118.25 90.00
Last column: nearest neighbours and their distance in Å.
Space group C2/m (No. 12)
Unique sites:
Li  0.0000  0.0000  0.0000  4 Cl 2.57
Au  0.0000  0.5000  0.0000  4 Cl 2.57
Cl  0.2500  0.2500  0.0000  2 Li 2.57, 2 Au 2.57

Properties
Distance to the lowest polymorph of the same formula = 0.234 eV per atom
DFT total energy = -23.8 eV/cell
E_form (uncorrected) = -3.04 eV per formula unit
Crystal system = monoclinic